Below is a relaxed Y5Tm3Th3 crystal, with properties calculated at the PBE level.

Results
- Total moment: 0.000 Bohr magnetons per cell
- E_form: 389.8 meV per atom
- Energy: -5.792 eV/atom

```
data_Y5Tm3Th3
_space_group_name_H-M_alt 'P -6 2 m'
_space_group_IT_number 189
_space_group_name_Hall 'P -6 -2'
_cell_length_a 11.1629
_cell_length_b 11.1629
_cell_length_c 3.4236
_cell_angle_alpha 90.00
_cell_angle_beta 90.00
_cell_angle_gamma 120.00
loop_
_atom_site_label
_atom_site_type_symbol
_atom_site_fract_x
_atom_site_fract_y
_atom_site_fract_z
Y1 Y 0.0000 0.6596 0.0000
Y2 Y 0.3333 0.6667 0.0000
Tm1 Tm 0.0000 0.1599 0.0000
Th1 Th 0.0000 0.4024 0.5000
```